This record from the Alexandria database describes a relaxed structure of Li2ErPCO7. The functional is PBE.

Structure (CIF):
```
data_Li2ErPCO7
_cell_length_a 4.7696
_cell_length_b 6.6656
_cell_length_c 9.4878
_cell_angle_alpha 90.00
_cell_angle_beta 96.63
_cell_angle_gamma 90.00
_symmetry_space_group_name_H-M 'P 1 21/m 1'
_symmetry_Int_Tables_number 11
loop_
_symmetry_equiv_pos_as_xyz
'x,y,z'
'-x,-y,-z'
'-x,y+1/2,-z'
'x,-y+1/2,z'
loop_
_atom_site_label
_atom_site_type_symbol
_atom_site_fract_x
_atom_site_fract_y
_atom_site_fract_z
Li1 Li 0.2054 0.0008 0.3281
Er1 Er 0.2587 0.2500 0.8719
P1 P 0.2561 0.7500 0.8937
C1 C 0.2713 0.2500 0.5759
O1 O 0.0263 0.2500 0.6241
O2 O 0.1299 0.5608 0.8169
O3 O 0.2055 0.7500 0.0544
O4 O 0.2988 0.2500 0.4437
O5 O 0.4169 0.2500 0.1018
O6 O 0.4925 0.2500 0.6737
```

Summary:
Its formation energy without anion corrections is -2.387 eV/atom. As for the calculated total energy: -0.265 hartree per atom. The spin magnetization comes out at 0.0 μB per formula unit.

=====

This record from the Alexandria database describes a relaxed structure of Ce7GeI12. The functional is PBE.

Structure (CIF):
```
data_Ce7GeI12
_cell_length_a 16.1902
_cell_length_b 16.1902
_cell_length_c 10.7733
_cell_angle_alpha 90.00
_cell_angle_beta 90.00
_cell_angle_gamma 120.00
_symmetry_space_group_name_H-M 'R -3'
_symmetry_Int_Tables_number 148
_symmetry_space_group_name_Hall '-R 3'
loop_
_atom_site_label
_atom_site_type_symbol
_atom_site_fract_x
_atom_site_fract_y
_atom_site_fract_z
Ce1 Ce 0.0000 0.0000 0.0000
Ce2 Ce 0.0464 0.8817 0.3413
Ge1 Ge 0.0000 0.0000 0.5000
I1 I 0.0229 0.4349 0.1651
I2 I 0.0525 0.8653 0.8399
```

Summary:
Its formation energy without anion corrections is -1.204 eV/atom. As for the calculated total energy: -0.163 hartree per atom. The spin magnetization comes out at 10.1 μB per formula unit.

=====

This record from the Alexandria database describes a relaxed structure of Ho2PaRh3. The functional is PBE.

Structure (CIF):
```
data_Ho2PaRh3
_cell_length_a 4.8358
_cell_length_b 4.8358
_cell_length_c 6.0258
_cell_angle_alpha 90.00
_cell_angle_beta 90.00
_cell_angle_gamma 120.00
_symmetry_space_group_name_H-M 'P -3 m 1'
_symmetry_Int_Tables_number 164
_symmetry_space_group_name_Hall '-P 3 2"'
loop_
_atom_site_label
_atom_site_type_symbol
_atom_site_fract_x
_atom_site_fract_y
_atom_site_fract_z
Ho1 Ho 0.3333 0.6667 0.1536
Pa1 Pa 0.0000 0.0000 0.5000
Rh1 Rh 0.0000 0.0000 0.0000
Rh2 Rh 0.3333 0.6667 0.6292
```

Summary:
As for the calculated total energy: -0.279 hartree per atom. The spin magnetization comes out at 0.0 μB per formula unit. For the polymorph energy (0 for the lowest one), the calculation gives 7 meV per atom.

=====

This record from the Alexandria database describes a relaxed structure of LiIn12Hg6. The functional is PBE.

Structure (CIF):
```
data_LiIn12Hg6
_cell_length_a 8.7061
_cell_length_b 8.7061
_cell_length_c 24.2973
_cell_angle_alpha 90.00
_cell_angle_beta 90.00
_cell_angle_gamma 120.00
_symmetry_space_group_name_H-M 'R -3'
_symmetry_Int_Tables_number 148
_symmetry_space_group_name_Hall '-R 3'
loop_
_atom_site_label
_atom_site_type_symbol
_atom_site_fract_x
_atom_site_fract_y
_atom_site_fract_z
Li1 Li 0.0000 0.0000 0.0000
In1 In 0.0481 0.2345 0.7803
In2 In 0.0543 0.2426 0.5572
Hg1 Hg 0.0350 0.7651 0.6672
```

Summary:
As for the calculated total energy: -0.070 hartree per atom. The spin magnetization comes out at 0.0 μB per formula unit.

=====

This record from the Alexandria database describes a relaxed structure of Th5Hg2Os. The functional is PBE.

Structure (CIF):
```
data_Th5Hg2Os
_cell_length_a 5.5261
_cell_length_b 15.7891
_cell_length_c 12.8379
_cell_angle_alpha 90.00
_cell_angle_beta 90.00
_cell_angle_gamma 90.00
_symmetry_space_group_name_H-M 'C m c m'
_symmetry_Int_Tables_number 63
_symmetry_space_group_name_Hall '-C 2c 2'
loop_
_atom_site_label
_atom_site_type_symbol
_atom_site_fract_x
_atom_site_fract_y
_atom_site_fract_z
Th1 Th 0.0000 0.0798 0.0966
Th2 Th 0.0000 0.3043 0.7500
Th3 Th 0.0000 0.3089 0.0597
Hg1 Hg 0.0000 0.1177 0.6396
Os1 Os 0.0000 0.2059 0.2500
```

Summary:
As for the calculated total energy: -0.218 hartree per atom. The spin magnetization comes out at 0.0 μB per formula unit.

=====

This record from the Alexandria database describes a relaxed structure of Tb2PmTl2. The functional is PBE.

Structure (CIF):
```
data_Tb2PmTl2
_cell_length_a 3.8040
_cell_length_b 28.2743
_cell_length_c 5.4512
_cell_angle_alpha 90.00
_cell_angle_beta 90.00
_cell_angle_gamma 90.00
_symmetry_space_group_name_H-M 'C m c m'
_symmetry_Int_Tables_number 63
_symmetry_space_group_name_Hall '-C 2c 2'
loop_
_atom_site_label
_atom_site_type_symbol
_atom_site_fract_x
_atom_site_fract_y
_atom_site_fract_z
Tb1 Tb 0.0000 0.0496 0.2500
Tb2 Tb 0.0000 0.2369 0.2500
Pm1 Pm 0.0000 0.1485 0.7500
Tl1 Tl 0.0000 0.3557 0.7500
Tl2 Tl 0.0000 0.4527 0.2500
```

Summary:
As for the calculated total energy: -0.148 hartree per atom. The spin magnetization comes out at 0.0 μB per formula unit.

=====

This record from the Alexandria database describes a relaxed structure of Cs4Hg2As2Au. The functional is PBE.

Structure (CIF):
```
data_Cs4Hg2As2Au
_cell_length_a 13.1377
_cell_length_b 9.7287
_cell_length_c 6.1382
_cell_angle_alpha 90.00
_cell_angle_beta 90.21
_cell_angle_gamma 90.00
_symmetry_space_group_name_H-M 'C 1 2/m 1'
_symmetry_Int_Tables_number 12
loop_
_symmetry_equiv_pos_as_xyz
'x,y,z'
'-x,-y,-z'
'-x,y,-z'
'x,-y,z'
'x+1/2,y+1/2,z'
'-x+1/2,-y+1/2,-z'
'-x+1/2,y+1/2,-z'
'x+1/2,-y+1/2,z'
loop_
_atom_site_label
_atom_site_type_symbol
_atom_site_fract_x
_atom_site_fract_y
_atom_site_fract_z
Cs1 Cs 0.1231 0.2500 0.3096
Hg1 Hg 0.1607 0.0000 0.8431
As1 As 0.1688 0.5000 0.8242
Au1 Au 0.0000 0.5000 0.0000
```

Summary:
As for the calculated total energy: -0.079 hartree per atom. The spin magnetization comes out at 1.0 μB per formula unit.

=====

This record from the Alexandria database describes a relaxed structure of Sn2BrCl2. The functional is PBE.

Structure (CIF):
```
data_Sn2BrCl2
_cell_length_a 8.0104
_cell_length_b 8.0104
_cell_length_c 4.7860
_cell_angle_alpha 90.00
_cell_angle_beta 90.00
_cell_angle_gamma 90.00
_symmetry_space_group_name_H-M 'P 4/m b m'
_symmetry_Int_Tables_number 127
_symmetry_space_group_name_Hall '-P 4 2ab'
loop_
_atom_site_label
_atom_site_type_symbol
_atom_site_fract_x
_atom_site_fract_y
_atom_site_fract_z
Sn1 Sn 0.1637 0.3363 0.0000
Br1 Br 0.0000 0.0000 0.0000
Cl1 Cl 0.2161 0.7161 0.5000
```

Summary:
Its formation energy without anion corrections is -0.599 eV/atom. As for the calculated total energy: -0.120 hartree per atom. The spin magnetization comes out at 0.0 μB per formula unit. For the polymorph energy (0 for the lowest one), the calculation gives 15 meV per atom.